NaTh3Te6 | the Alexandria database | GGA-PBE | optimized geometry; magnetic moment = 0.0 μB/f.u.; energy relative to the elements, uncorrected = -1.13 eV/atom; electronic total energy = -107.52 eV for the cell shown; SG = No. 36
1.0
-4.787 -4.570 -4.104
6.105 0.274 -7.425
3.115 -7.665 4.902
Te Th Na
12 6 2
Cartesian
2.032 -8.663 3.870
0.809 -8.642 -0.663
2.360 -2.975 -1.982
3.514 -6.525 -7.500
5.423 -5.429 -2.820
2.587 -3.120 -10.338
0.161 -3.837 -6.582
4.751 -2.243 -4.998
-0.243 -5.818 -3.167
4.541 -7.867 0.185
2.819 -8.273 -4.006
1.188 -5.179 1.103
2.533 -6.187 -1.551
-3.437 -6.576 -3.182
5.647 -7.507 -5.352
2.632 -11.441 -4.843
-0.423 -2.642 -3.691
0.738 -6.882 -6.072
-1.135 -10.816 -1.395
3.183 -3.421 -7.277